[1]
Density functional theory data (PBE) for a relaxed Nb4ZnGa5 crystal.

Formation energy from the elements: 0.05 eV/atom
D(E_F): 6.923 states/eV/f.u.
Symmetry: I4

The structure in POSCAR format:
```
Nb4ZnGa5
1.0
-4.0088 4.0088 2.6880
4.0088 -4.0088 2.6880
4.0088 4.0088 -2.6880
Nb Zn Ga
4 1 5
Cartesian
5.5299 0.5695 0.0000 Nb
0.5695 2.4876 0.0000 Nb
3.4393 1.5212 2.6880 Nb
-1.5212 3.4393 2.6880 Nb
0.0000 0.0000 1.2977 Zn
3.2353 1.9643 0.0046 Ga
2.0445 -0.7735 2.6926 Ga
1.9643 4.7823 0.0046 Ga
0.7735 2.0445 2.6926 Ga
0.0000 0.0000 4.2782 Ga
```

[2]
Density functional theory data (PBE) for a relaxed Nb2ZnGa2 crystal.

Polymorph energy (0 for the lowest one): 0.493 eV per atom
Formation energy from the elements: 0.33 eV/atom
D(E_F): 5.896 states/eV/f.u.
Symmetry: I4/mmm

The structure in POSCAR format:
```
Nb2ZnGa2
1.0
-1.9935 1.9935 6.0186
1.9935 -1.9935 6.0186
1.9935 1.9935 -6.0186
Nb Zn Ga
2 1 2
Cartesian
1.9935 0.0000 3.0093 Nb
0.0000 1.9935 3.0093 Nb
0.0000 0.0000 0.0000 Zn
0.0000 0.0000 4.8517 Ga
0.0000 0.0000 7.1855 Ga
```

Copy entry 2 word for word.
Density functional theory data (PBE) for a relaxed Nb2ZnGa2 crystal.

Polymorph energy (0 for the lowest one): 0.493 eV per atom
Formation energy from the elements: 0.33 eV/atom
D(E_F): 5.896 states/eV/f.u.
Symmetry: I4/mmm

The structure in POSCAR format:
```
Nb2ZnGa2
1.0
-1.9935 1.9935 6.0186
1.9935 -1.9935 6.0186
1.9935 1.9935 -6.0186
Nb Zn Ga
2 1 2
Cartesian
1.9935 0.0000 3.0093 Nb
0.0000 1.9935 3.0093 Nb
0.0000 0.0000 0.0000 Zn
0.0000 0.0000 4.8517 Ga
0.0000 0.0000 7.1855 Ga
```

Repeat the first record exactly.
Density functional theory data (PBE) for a relaxed Nb4ZnGa5 crystal.

Formation energy from the elements: 0.05 eV/atom
D(E_F): 6.923 states/eV/f.u.
Symmetry: I4

The structure in POSCAR format:
```
Nb4ZnGa5
1.0
-4.0088 4.0088 2.6880
4.0088 -4.0088 2.6880
4.0088 4.0088 -2.6880
Nb Zn Ga
4 1 5
Cartesian
5.5299 0.5695 0.0000 Nb
0.5695 2.4876 0.0000 Nb
3.4393 1.5212 2.6880 Nb
-1.5212 3.4393 2.6880 Nb
0.0000 0.0000 1.2977 Zn
3.2353 1.9643 0.0046 Ga
2.0445 -0.7735 2.6926 Ga
1.9643 4.7823 0.0046 Ga
0.7735 2.0445 2.6926 Ga
0.0000 0.0000 4.2782 Ga
```

formation energy from the elements of number 2 (Nb2ZnGa2)?
0.33 eV/atom

Look up the D(E_F) of the second one.
5.896 states/eV/f.u.